VASP calculation (PBE) on an optimized crystal structure of SrCN.

Cell and atoms, written as CIF:
```
data_SrCN
_chemical_formula_sum 'Sr2 C2 N2'
_cell_length_a 8.4970
_cell_length_b 8.4970
_cell_length_c 8.4970
_cell_angle_alpha 157.28
_cell_angle_beta 154.32
_cell_angle_gamma 34.55
_symmetry_space_group_name_H-M 'P 1'
_symmetry_Int_Tables_number 1
_symmetry_space_group_name_Hall 'P 1'
loop_
_atom_site_label
_atom_site_fract_x
_atom_site_fract_y
_atom_site_fract_z
Sr1 0.1418 0.1418 0.0000
Sr2 0.8582 0.8582 0.0000
C1 0.5000 0.2075 0.7075
C2 0.5000 0.7925 0.2925
N1 0.4336 0.4336 0.0000
N2 0.5664 0.5664 0.0000
```

Energy relative to the lowest polymorph listed for this composition: 1.38 eV per formula unit
Uncorrected energy: -6.37 eV per atom
Symmetry: No. 71
Magnetization: 0.0 μB/cell
Formation energy without anion corrections: 0.039 eV per atom